Computed, not measured: a geometry-optimized KPmSm structure at the PBE level of DFT.

Summary:
Its final energy is -2.3780 eV/atom.

```
data_KPmSm
_cell_length_a 8.4070
_cell_length_b 8.4070
_cell_length_c 8.4070
_cell_angle_alpha 90.00
_cell_angle_beta 90.00
_cell_angle_gamma 90.00
_space_group_name_H-M_alt 'F -4 3 m'
_space_group_IT_number 216
_space_group_name_Hall 'F -4 2 3'
loop_
_atom_site_label
_atom_site_type_symbol
_atom_site_fract_x
_atom_site_fract_y
_atom_site_fract_z
K1 K 0.0000 0.0000 0.0000
Pm1 Pm 0.0000 0.0000 0.5000
Sm1 Sm 0.2500 0.2500 0.2500
```

Computed, not measured: a geometry-optimized KPmTa structure at the PBE level of DFT.

Summary:
Its final energy is -3.9688 eV/atom.

```
data_KPmTa
_cell_length_a 7.6724
_cell_length_b 7.6724
_cell_length_c 7.6724
_cell_angle_alpha 90.00
_cell_angle_beta 90.00
_cell_angle_gamma 90.00
_space_group_name_H-M_alt 'F -4 3 m'
_space_group_IT_number 216
_space_group_name_Hall 'F -4 2 3'
loop_
_atom_site_label
_atom_site_type_symbol
_atom_site_fract_x
_atom_site_fract_y
_atom_site_fract_z
K1 K 0.0000 0.0000 0.0000
Pm1 Pm 0.2500 0.2500 0.2500
Ta1 Ta 0.0000 0.0000 0.5000
```

Computed, not measured: a geometry-optimized KTbPm structure at the PBE level of DFT.

Summary:
Its final energy is -2.3234 eV/atom.

```
data_KTbPm
_cell_length_a 8.3750
_cell_length_b 8.3750
_cell_length_c 8.3750
_cell_angle_alpha 90.00
_cell_angle_beta 90.00
_cell_angle_gamma 90.00
_space_group_name_H-M_alt 'F -4 3 m'
_space_group_IT_number 216
_space_group_name_Hall 'F -4 2 3'
loop_
_atom_site_label
_atom_site_type_symbol
_atom_site_fract_x
_atom_site_fract_y
_atom_site_fract_z
K1 K 0.0000 0.0000 0.0000
Tb1 Tb 0.0000 0.0000 0.5000
Pm1 Pm 0.2500 0.2500 0.2500
```

Computed, not measured: a geometry-optimized KPmTc structure at the PBE level of DFT.

Summary:
Its final energy is -3.8282 eV/atom.

```
data_KPmTc
_cell_length_a 7.1155
_cell_length_b 7.1155
_cell_length_c 7.1155
_cell_angle_alpha 90.00
_cell_angle_beta 90.00
_cell_angle_gamma 90.00
_space_group_name_H-M_alt 'F -4 3 m'
_space_group_IT_number 216
_space_group_name_Hall 'F -4 2 3'
loop_
_atom_site_label
_atom_site_type_symbol
_atom_site_fract_x
_atom_site_fract_y
_atom_site_fract_z
K1 K 0.0000 0.0000 0.0000
Pm1 Pm 0.2500 0.2500 0.2500
Tc1 Tc 0.0000 0.0000 0.5000
```

Computed, not measured: a geometry-optimized KPm2Tc4 structure at the PBE level of DFT.

Summary:
Its final energy is -5.3390 eV/atom.

```
data_KPm2Tc4
_cell_length_a 4.6870
_cell_length_b 4.6870
_cell_length_c 14.9199
_cell_angle_alpha 90.00
_cell_angle_beta 90.00
_cell_angle_gamma 90.00
_space_group_name_H-M_alt 'I 4/m m m'
_space_group_IT_number 139
_space_group_name_Hall '-I 4 2'
loop_
_atom_site_label
_atom_site_type_symbol
_atom_site_fract_x
_atom_site_fract_y
_atom_site_fract_z
K1 K 0.0000 0.0000 0.0000
Pm1 Pm 0.0000 0.0000 0.3659
Tc1 Tc 0.0000 0.0000 0.1831
Tc2 Tc 0.0000 0.5000 0.0000
```

Computed, not measured: a geometry-optimized KPmTe2 structure at the PBE level of DFT.

Summary:
Its final energy is -4.4498 eV/atom.

```
data_KPmTe2
_cell_length_a 4.5931
_cell_length_b 4.5931
_cell_length_c 24.7624
_cell_angle_alpha 90.00
_cell_angle_beta 90.00
_cell_angle_gamma 120.00
_space_group_name_H-M_alt 'R -3 m'
_space_group_IT_number 166
_space_group_name_Hall '-R 3 2"'
loop_
_atom_site_label
_atom_site_type_symbol
_atom_site_fract_x
_atom_site_fract_y
_atom_site_fract_z
K1 K 0.0000 0.0000 0.0000
Pm1 Pm 0.0000 0.0000 0.5000
Te1 Te 0.0000 0.0000 0.2378
```